#w
The following is a PBE calculation of a relaxed CaYB crystal, from Alexandria.

a = 3.6001 Å, b = 5.8760 Å, c = 7.3900 Å
α = 90.00°, β = 90.00°, γ = 90.00°
Space group Pmm2 (No. 25)
Inequivalent atoms, fractional coordinates:
Ca 0.0000 0.0000 0.0000 [1 per cell]
Ca 0.5000 0.5000 0.2749 [1 per cell]
Y 0.5000 0.0000 0.5276 [1 per cell]
Y 0.5000 0.5000 0.7605 [1 per cell]
B 0.0000 0.3603 0.5344 [2 per cell]

## Properties
Total magnetization = 0.62 μB per cell

#x
The following is a PBE calculation of a relaxed CaYB crystal, from Alexandria.

a = 5.9864 Å, b = 3.4562 Å, c = 13.5983 Å
α = 90.00°, β = 90.01°, γ = 90.00°
Space group Cm (No. 8)
Inequivalent atoms, fractional coordinates:
Ca 0.0000 0.0000 0.0000 [2 per cell]
Ca 0.1672 0.5000 0.7576 [2 per cell]
Y 0.3313 0.0000 0.2438 [2 per cell]
Y 0.3314 0.0000 0.5137 [2 per cell]
B 0.1646 0.5000 0.3800 [2 per cell]
B 0.4980 0.5000 0.3776 [2 per cell]

## Properties
Total magnetization = 0.00 μB per cell

#y
The following is a PBE calculation of a relaxed CaYB crystal, from Alexandria.

a = 4.6758 Å, b = 4.6758 Å, c = 6.5483 Å
α = 90.00°, β = 90.00°, γ = 120.00°
Space group P6_3/mmc (No. 194)
Inequivalent atoms, fractional coordinates:
Ca 0.0000 0.0000 0.0000 [2 per cell]
Y 0.3333 0.6667 0.2500 [2 per cell]
B 0.3333 0.6667 0.7500 [2 per cell]

## Properties
Total magnetization = 0.00 μB per cell

#z
The following is a PBE calculation of a relaxed CaYB crystal, from Alexandria.

a = 9.5393 Å, b = 3.3115 Å, c = 9.7386 Å
α = 90.00°, β = 91.59°, γ = 90.00°
Space group Cm (No. 8)
Inequivalent atoms, fractional coordinates:
Ca 0.0000 0.0000 0.0000 [2 per cell]
Ca 0.2469 0.0000 0.7380 [2 per cell]
Y 0.2489 0.5000 0.2477 [2 per cell]
Y 0.4937 0.0000 0.4870 [2 per cell]
B 0.2243 0.0000 0.4629 [2 per cell]
B 0.2691 0.5000 0.5061 [2 per cell]

## Properties
Total magnetization = 0.00 μB per cell

Quick look at relative energies in eV/atom: #w 0.168; #x 0.000; #y 0.431; #z 0.131.

#w
The following is a PBE calculation of a relaxed CaY3B crystal, from Alexandria.

a = 5.2463 Å, b = 5.2463 Å, c = 5.2463 Å
α = 90.00°, β = 90.00°, γ = 90.00°
Space group Pm-3m (No. 221)
Inequivalent atoms, fractional coordinates:
Ca 0.0000 0.0000 0.0000 [1 per cell]
Y 0.0000 0.5000 0.5000 [3 per cell]
B 0.5000 0.5000 0.5000 [1 per cell]

## Properties
Total magnetization = 0.00 μB per cell

#x
The following is a PBE calculation of a relaxed CaY3B crystal, from Alexandria.

a = 5.4397 Å, b = 5.4397 Å, c = 5.4397 Å
α = 90.00°, β = 90.00°, γ = 90.00°
Space group Pm-3m (No. 221)
Inequivalent atoms, fractional coordinates:
Ca 0.0000 0.0000 0.0000 [1 per cell]
Y 0.0000 0.0000 0.5000 [3 per cell]
B 0.5000 0.5000 0.5000 [1 per cell]

## Properties
Total magnetization = 0.00 μB per cell

Quick look at relative energies in eV/atom: #w 0.000; #x 1.873.

#w
The following is a PBE calculation of a relaxed CaYB3 crystal, from Alexandria.

a = 4.5025 Å, b = 4.5025 Å, c = 4.5025 Å
α = 90.00°, β = 90.00°, γ = 90.00°
Space group Pm-3m (No. 221)
Inequivalent atoms, fractional coordinates:
Ca 0.0000 0.0000 0.0000 [1 per cell]
Y 0.5000 0.5000 0.5000 [1 per cell]
B 0.0000 0.0000 0.5000 [3 per cell]

## Properties
Total magnetization = 0.00 μB per cell

#x
The following is a PBE calculation of a relaxed CaYB3 crystal, from Alexandria.

a = 4.6745 Å, b = 4.6745 Å, c = 4.6745 Å
α = 90.00°, β = 90.00°, γ = 90.00°
Space group Pm-3m (No. 221)
Inequivalent atoms, fractional coordinates:
Ca 0.0000 0.0000 0.0000 [1 per cell]
Y 0.5000 0.5000 0.5000 [1 per cell]
B 0.0000 0.5000 0.5000 [3 per cell]

## Properties
Total magnetization = 0.00 μB per cell

Quick look at relative energies in eV/atom: #w 0.262; #x 0.000.